The following is a GGA-PBE calculation of a relaxed PrNd3Ho7 crystal, from Alexandria.

abc: 6.540 6.673 8.663
angles: 98.75 99.02 94.95
Space group P-1 (No. 2)
Unique sites:
1 Pr 0.000 0.000 0.000 x1
2 Nd 0.297 0.437 0.341 x2
3 Nd 0.500 0.000 0.500 x1
4 Ho 0.000 0.500 0.000 x1
5 Ho 0.056 0.207 0.643 x2
6 Ho 0.230 0.721 0.717 x2
7 Ho 0.486 0.238 0.913 x2

Output
The density of states at the Fermi level is 17.1 states/eV per cell. The value obtained for the calculated formation energy is 120 meV per atom. The size of the total moment comes out at 0.000 μB/atom. As for the energy above the most stable polymorph in this dataset: 0.000 eV/atom.